# 1
## MgAlW4 (PBE-GGA)

Data for a relaxed MgAlW4 crystal.

Results
Space-group type: F-43m (216)
Formation energy from the elements, meV per atom: 491
DOS at the Fermi energy, states/eV per cell: 5.813
Uncorrected energy, Ry per atom: -0.664

a b c (Å): 5.3257 5.3257 5.3257
angles (deg): 60.00 60.00 60.00
Atoms (fractional coordinates):
Mg1 0.0000 0.0000 0.0000
Al1 0.7500 0.7500 0.7500
W1 0.3746 0.3746 0.3746
W2 0.3746 0.3746 0.8761
W3 0.3746 0.8761 0.3746
W4 0.8761 0.3746 0.3746


# 2
## ScZnPdRu (PBE-GGA)

Data for a relaxed ScZnPdRu crystal.

Results
Space-group type: Pmmm (47)
Formation energy from the elements, meV per atom: -568
DOS at the Fermi energy, states/eV per cell: 1.881
Uncorrected energy, Ry per atom: -0.447

a b c (Å): 3.3346 4.2326 4.3724
angles (deg): 90.00 90.00 90.00
Atoms (fractional coordinates):
Sc1 0.0000 0.0000 0.0000
Zn1 0.0000 0.5000 0.5000
Pd1 0.5000 0.0000 0.5000
Ru1 0.5000 0.5000 0.0000


# 3
## TlCrFe2 (PBE-GGA)

Data for a relaxed TlCrFe2 crystal.

Results
Space-group type: C2/m (12)
Formation energy from the elements, meV per atom: 550
DOS at the Fermi energy, states/eV per cell: 3.362
Uncorrected energy, Ry per atom: -0.491

a b c (Å): 4.6165 4.6165 4.8170
angles (deg): 101.70 101.70 37.22
Atoms (fractional coordinates):
Tl1 0.0000 0.0000 0.0000
Cr1 0.5000 0.5000 0.5000
Fe1 0.2395 0.2395 0.6899
Fe2 0.7605 0.7605 0.3101


# 4
## GaPF (PBE-GGA)

Data for a relaxed GaPF crystal.

Results
E_form (uncorrected), kJ per mole of atoms: -112.13
Space-group type: C2 (5)
Uncorrected energy, Ry per atom: -0.338

a b c (Å): 5.1790 5.1790 3.9660
angles (deg): 107.74 107.74 78.78
Atoms (fractional coordinates):
Ga1 0.2108 0.2108 0.2909
Ga2 0.7892 0.7892 0.7091
P1 0.4987 0.2007 0.8870
P2 0.7993 0.5013 0.1130
F1 0.1777 0.8223 0.0000
F2 0.9364 0.0636 0.5000


# 5
## K2PtAuN (PBE-GGA)

Data for a relaxed K2PtAuN crystal.

Results
E_form (uncorrected), kJ per mole of atoms: -17.24
Space-group type: P4/mmm (123)
DOS at the Fermi energy, states/eV per cell: 3.240
Uncorrected energy, Ry per atom: -0.305

a b c (Å): 5.9828 5.9828 3.7149
angles (deg): 90.00 90.00 90.00
Atoms (fractional coordinates):
K1 0.0000 0.5000 0.0000
K2 0.5000 0.0000 0.0000
Pt1 0.0000 0.0000 0.5000
Au1 0.5000 0.5000 0.5000
N1 0.0000 0.0000 0.0000


# 6
## MnBiSe2 (PBE-GGA)

Data for a relaxed MnBiSe2 crystal.

Results
E_form (uncorrected), kJ per mole of atoms: -11.02
Space-group type: P1 (1)
DOS at the Fermi energy, states/eV per cell: 3.935
Uncorrected energy, Ry per atom: -0.376

a b c (Å): 4.1472 7.0401 7.6308
angles (deg): 78.36 75.00 86.24
Atoms (fractional coordinates):
Mn1 0.0000 0.0000 0.0000
Mn2 0.3332 0.8752 0.1289
Bi1 0.2400 0.3820 0.9532
Bi2 0.4713 0.7567 0.5789
Se1 0.0724 0.6221 0.3618
Se2 0.2785 0.1508 0.7009
Se3 0.5712 0.1168 0.2205
Se4 0.7561 0.7477 0.9179


# 7
## Sr2BePb (PBE-GGA)

Data for a relaxed Sr2BePb crystal.

Results
Space-group type: Fm-3m (225)
Formation energy from the elements, meV per atom: 1
DOS at the Fermi energy, states/eV per cell: 0.247
Uncorrected energy, Ry per atom: -0.198

a b c (Å): 5.6200 5.6200 5.6200
angles (deg): 60.00 60.00 60.00
Atoms (fractional coordinates):
Sr1 0.2500 0.2500 0.2500
Sr2 0.7500 0.7500 0.7500
Be1 0.0000 0.0000 0.0000
Pb1 0.5000 0.5000 0.5000


# 8
## K2BaMg (PBE-GGA)

Data for a relaxed K2BaMg crystal.

Results
Space-group type: Pm (6)
Formation energy from the elements, meV per atom: 65
DOS at the Fermi energy, states/eV per cell: 2.723
Uncorrected energy, Ry per atom: -0.100

a b c (Å): 4.4686 4.4622 11.1327
angles (deg): 90.00 90.01 90.00
Atoms (fractional coordinates):
K1 0.0000 0.0000 0.0000
K2 0.4967 0.5000 0.3126
Ba1 0.9985 0.0000 0.6179
Mg1 0.4981 0.5000 0.7932